Rb2MnRuBr6 | GGA-PBE | relaxed

Cell lengths 10.531, 10.531, 10.531 Å; angles 90.00, 90.00, 90.00 degrees
Space group Fm-3m (No. 225)
One atom of each set of equivalent atoms:
Rb: 0.250 0.250 0.250 (multiplicity 8)
Mn: 0.000 0.000 0.000 (multiplicity 4)
Ru: 0.000 0.000 0.500 (multiplicity 4)
Br: 0.000 0.000 0.255 (multiplicity 24)

Values from the calculation:
E_tot (Ry/atom): -0.28706